# 1
First-principles (PBE-GGA) data for a relaxed Tb2Nd4Y5 crystal, as listed in Alexandria.

Computed properties:
The excess energy over the best structure of this formula in the dataset comes out at 0 meV/atom. The value obtained for the formation energy is 104 meV/atom. As for the density of states at the Fermi level: 1.816 states/eV/atom.

The structure in POSCAR format:
```
Tb2Nd4Y5
1.0
5.6572 0.0000 -1.3800
-0.2615 6.3721 -1.0719
-0.5649 2.1615 9.9698
Nd Y Tb
4 5 2
Direct
0.9712 0.2724 0.9424 Nd
0.3074 0.0679 0.6147 Nd
0.0288 0.7276 0.0576 Nd
0.6926 0.9321 0.3853 Nd
0.2121 0.6034 0.4242 Y
0.7879 0.3966 0.5758 Y
0.5000 0.0000 0.0000 Y
0.8672 0.8717 0.7345 Y
0.1328 0.1283 0.2655 Y
0.5968 0.4541 0.1937 Tb
0.4032 0.5459 0.8063 Tb
```

# 2
First-principles (PBE-GGA) data for a relaxed Tb2Nd6Y crystal, as listed in Alexandria.

Computed properties:
The excess energy over the best structure of this formula in the dataset comes out at 0 meV/atom. The value obtained for the formation energy is 81 meV/atom. As for the density of states at the Fermi level: 1.404 states/eV/atom.

The structure in POSCAR format:
```
Tb2Nd6Y
1.0
-5.4042 2.9048 -1.3125
-1.0216 -4.1687 -9.2419
-5.7306 -8.3865 0.8125
Nd Tb Y
12 4 2
Direct
0.3191 0.7390 0.0226 Nd
0.8474 0.6461 0.9246 Nd
0.9858 0.4080 0.6871 Nd
0.8191 0.0226 0.7390 Nd
0.6809 0.2610 0.9774 Nd
0.5142 0.3129 0.5920 Nd
0.0142 0.5920 0.3129 Nd
0.1526 0.3539 0.0754 Nd
0.3474 0.9246 0.6461 Nd
0.6526 0.0754 0.3539 Nd
0.4858 0.6871 0.4080 Nd
0.1809 0.9774 0.2610 Nd
0.5857 0.4334 0.2336 Tb
0.0857 0.2336 0.4334 Tb
0.9143 0.7664 0.5666 Tb
0.4143 0.5666 0.7664 Tb
0.2500 0.0996 0.9004 Y
0.7500 0.9004 0.0996 Y
```

# 3
First-principles (PBE-GGA) data for a relaxed Tb8Nd5Y crystal, as listed in Alexandria.

Computed properties:
The excess energy over the best structure of this formula in the dataset comes out at 192 meV/atom. The value obtained for the formation energy is 237 meV/atom. As for the density of states at the Fermi level: 1.405 states/eV/atom.

The structure in POSCAR format:
```
Tb8Nd5Y
1.0
-5.2013 6.7099 0.7701
-4.4061 -7.0587 -1.8525
4.0617 -0.8250 7.4493
Y Tb Nd
1 8 5
Direct
0.2500 0.5000 0.7500 Y
0.5698 0.9090 0.8322 Tb
0.7300 0.2544 0.3334 Tb
0.5244 0.6034 0.2700 Tb
0.0791 0.7456 0.4756 Tb
0.6666 0.3966 0.9209 Tb
0.1678 0.7376 0.0768 Tb
0.9232 0.0910 0.6608 Tb
0.3392 0.2624 0.4302 Tb
0.8130 0.6774 0.7089 Nd
0.0315 0.3226 0.1356 Nd
0.5000 0.0000 0.5000 Nd
0.8644 0.8959 0.1870 Nd
0.2911 0.1041 0.9685 Nd
```

# 4
First-principles (PBE-GGA) data for a relaxed Tb7NdY3 crystal, as listed in Alexandria.

Computed properties:
The excess energy over the best structure of this formula in the dataset comes out at 49 meV/atom. The value obtained for the formation energy is 192 meV/atom. As for the density of states at the Fermi level: 1.644 states/eV/atom.

The structure in POSCAR format:
```
Tb7NdY3
1.0
8.6633 0.0000 0.0000
0.0000 7.0926 0.0000
0.0000 -3.5463 6.1424
Tb Y Nd
7 3 1
Direct
0.4492 0.3360 0.1680 Tb
0.1164 0.1679 0.8321 Tb
0.4492 0.8320 0.6640 Tb
0.4492 0.8320 0.1680 Tb
0.1217 0.6667 0.3333 Tb
0.1164 0.6642 0.8321 Tb
0.1164 0.1679 0.3358 Tb
0.7844 0.5005 0.4995 Y
0.7844 0.9991 0.4995 Y
0.7844 0.5005 0.0009 Y
0.4433 0.3333 0.6667 Nd
```

> What is the excess energy over the best structure of this formula in the dataset in the second record?

0 meV/atom